(1)
Below is CsNaFeBr4 after structural relaxation, with properties calculated at the PBE level.

Calculated values
Magnetization, μB/atom: 0.571
SG: P2_1/m, No. 11

POSCAR file:
```
CsNaFeBr4
1.0
7.009 0.000 0.000
0.000 7.742 0.000
-3.077 0.000 9.317
Cs Na Fe Br
2 2 2 8
Cartesian
0.381 1.935 4.018 Cs
3.550 5.806 5.299 Cs
-0.778 1.935 9.025 Na
4.709 5.806 0.292 Na
1.456 5.806 1.701 Fe
2.475 1.935 7.616 Fe
-2.589 5.806 8.810 Br
-0.154 5.806 3.523 Br
0.931 0.037 7.340 Br
0.931 3.834 7.340 Br
3.000 3.908 1.978 Br
3.000 7.705 1.978 Br
4.085 1.935 5.794 Br
6.521 1.935 0.507 Br
```



(2)
Below is Cs2FeNiBr6 after structural relaxation, with properties calculated at the PBE level.

Calculated values
Magnetization, μB/atom: 0.264
SG: I4/mmm, No. 139

POSCAR file:
```
Cs2FeNiBr6
1.0
-3.734 3.734 5.275
3.734 -3.734 5.275
3.734 3.734 -5.275
Cs Fe Ni Br
2 1 1 6
Cartesian
3.734 0.000 2.637 Cs
0.000 3.734 2.637 Cs
0.000 0.000 0.000 Fe
0.000 0.000 5.275 Ni
1.843 1.843 0.000 Br
1.891 -1.891 5.275 Br
0.000 0.000 2.714 Br
0.000 0.000 7.835 Br
-1.891 1.891 5.275 Br
1.891 1.891 5.275 Br
```



(3)
Below is CsFe2PbBr8 after structural relaxation, with properties calculated at the PBE level.

Calculated values
Magnetization, μB/atom: 0.750
SG: C2/m, No. 12

POSCAR file:
```
CsFe2PbBr8
1.0
5.747 -3.958 0.000
5.747 3.958 0.000
-1.726 0.000 10.643
Cs Fe Pb Br
1 2 1 8
Cartesian
0.000 0.000 0.000 Cs
3.326 0.000 7.603 Fe
6.441 0.000 3.040 Fe
-0.863 0.000 5.322 Pb
4.959 1.922 3.020 Br
2.175 0.000 5.508 Br
4.809 1.922 7.623 Br
2.069 0.000 9.592 Br
7.699 0.000 1.051 Br
4.959 -1.922 3.020 Br
7.593 0.000 5.135 Br
4.809 -1.922 7.623 Br
```



The energy results, record by record, are as follows: -3.613, -3.500, -3.723 eV per atom.
The density of states at the Fermi level results, record by record, are as follows: 13.58, 11.03, 8.54 states/eV per cell.
The formation energy without anion corrections results, record by record, are as follows: -1.14, -0.90, -0.82 eV per atom.